(1)
# ScPaH2

A geometry-optimized ScPaH2 structure (GGA-PBE, the Alexandria database).

The structure in POSCAR format:
```
ScPaH2
1.0
3.2160 0.0000 0.0000
-1.6080 2.7852 0.0000
0.0000 0.0000 17.3282
Sc Pa H
3 3 6
direct
0.0000 0.0000 0.0000 Sc
0.3333 0.6667 0.6667 Sc
0.6667 0.3333 0.3333 Sc
0.0000 0.0000 0.5000 Pa
0.3333 0.6667 0.1667 Pa
0.6667 0.3333 0.8333 Pa
0.0000 0.0000 0.2620 H
0.0000 0.0000 0.7380 H
0.3333 0.6667 0.4047 H
0.3333 0.6667 0.9286 H
0.6667 0.3333 0.0714 H
0.6667 0.3333 0.5953 H
```

Computed properties:
* calculated volume: 155 Å³/cell
* energy: -5.89 eV per atom



(2)
# ScPaH2

A geometry-optimized ScPaH2 structure (GGA-PBE, the Alexandria database).

The structure in POSCAR format:
```
ScPaH2
1.0
3.1853 0.0000 0.0000
-1.5926 2.7585 0.0000
0.0000 0.0000 17.5614
Sc Pa H
3 3 6
direct
0.0000 0.0000 0.0000 Sc
0.3333 0.6667 0.6667 Sc
0.6667 0.3333 0.3333 Sc
0.0000 0.0000 0.1770 Pa
0.3333 0.6667 0.8436 Pa
0.6667 0.3333 0.5103 Pa
0.0000 0.0000 0.4095 H
0.0000 0.0000 0.6006 H
0.3333 0.6667 0.0762 H
0.3333 0.6667 0.2672 H
0.6667 0.3333 0.7428 H
0.6667 0.3333 0.9339 H
```

Computed properties:
* calculated volume: 154 Å³/cell
* energy: -5.85 eV per atom